An optimized crystal structure of SrMg. Source: Alexandria via LeMat-Bulk, functional GGA-PBE.

## Properties
uncorrected energy	-1.5908	eV/atom
DOS at the Fermi energy	6.1	states/eV per cell
theoretical density	2.41	g/cm³
crystal system	cubic

Lattice parameters (Å, degrees): 6.760 6.760 6.760 90.00 90.00 90.00
Atoms (fractional coordinates):
Mg 0.902 0.598 0.402
Mg 0.598 0.402 0.902
Mg 0.098 0.098 0.098
Mg 0.402 0.902 0.598
Sr 0.412 0.412 0.412
Sr 0.588 0.912 0.088
Sr 0.088 0.588 0.912
Sr 0.912 0.088 0.588



An optimized crystal structure of Sr17Mg12. Source: Alexandria via LeMat-Bulk, functional GGA-PBE.

## Properties
uncorrected energy	-1.6356	eV/atom
DOS at the Fermi energy	28.7	states/eV per cell
theoretical density	2.55	g/cm³
crystal system	cubic

Lattice parameters (Å, degrees): 11.458 11.458 11.458 109.47 109.47 109.47
Atoms (fractional coordinates):
Mg 0.180 0.356 0.356
Mg 0.176 0.820 0.176
Mg 0.356 0.180 0.356
Mg 0.000 0.644 0.824
Mg 0.824 0.644 0.000
Mg 0.176 0.176 0.820
Mg 0.644 0.000 0.824
Mg 0.644 0.824 0.000
Mg 0.820 0.176 0.176
Mg 0.356 0.356 0.180
Mg 0.000 0.824 0.644
Mg 0.824 0.000 0.644
Sr 0.312 0.601 0.000
Sr 0.000 0.601 0.312
Sr 0.288 0.688 0.688
Sr 0.712 0.399 0.399
Sr 0.000 0.000 0.000
Sr 0.399 0.399 0.712
Sr 0.312 0.000 0.601
Sr 0.399 0.712 0.399
Sr 0.000 0.000 0.335
Sr 0.601 0.000 0.312
Sr 0.000 0.335 0.000
Sr 0.688 0.288 0.688
Sr 0.665 0.665 0.665
Sr 0.000 0.312 0.601
Sr 0.601 0.312 0.000
Sr 0.335 0.000 0.000
Sr 0.688 0.688 0.288



An optimized crystal structure of SrMg5. Source: Alexandria via LeMat-Bulk, functional GGA-PBE.

## Properties
uncorrected energy	-1.5396	eV/atom
DOS at the Fermi energy	3.5	states/eV per cell
theoretical density	2.07	g/cm³
crystal system	orthorhombic

Lattice parameters (Å, degrees): 9.312 9.312 5.271 90.00 90.00 158.49
Atoms (fractional coordinates):
Mg 0.580 0.420 0.500
Mg 0.868 0.132 0.500
Mg 0.677 0.323 0.000
Mg 0.321 0.679 0.000
Mg 0.222 0.778 0.500
Sr 0.998 0.002 0.000



An optimized crystal structure of Sr3Mg11. Source: Alexandria via LeMat-Bulk, functional GGA-PBE.

## Properties
uncorrected energy	-1.6425	eV/atom
DOS at the Fermi energy	8.0	states/eV per cell
theoretical density	2.14	g/cm³
crystal system	orthorhombic

Lattice parameters (Å, degrees): 5.126 9.615 9.615 66.61 74.54 74.54
Atoms (fractional coordinates):
Mg 0.668 0.979 0.684
Mg 0.500 0.685 0.315
Mg 0.129 0.159 0.583
Mg 0.871 0.841 0.417
Mg 0.129 0.583 0.159
Mg 0.332 0.316 0.021
Mg 0.000 0.500 0.500
Mg 0.668 0.684 0.979
Mg 0.332 0.021 0.316
Mg 0.500 0.315 0.685
Mg 0.871 0.417 0.841
Sr 0.703 0.297 0.297
Sr 0.297 0.703 0.703
Sr 0.000 0.000 0.000



An optimized crystal structure of SrMg. Source: Alexandria via LeMat-Bulk, functional GGA-PBE.

## Properties
uncorrected energy	-1.6496	eV/atom
DOS at the Fermi energy	2.6	states/eV per cell
theoretical density	2.46	g/cm³
crystal system	tetragonal

Lattice parameters (Å, degrees): 4.064 4.064 9.131 90.00 90.00 90.00
Atoms (fractional coordinates):
Sr 0.750 0.750 0.822
Sr 0.250 0.250 0.178
Mg 0.750 0.750 0.422
Mg 0.250 0.250 0.578



An optimized crystal structure of SrMg. Source: Alexandria via LeMat-Bulk, functional GGA-PBE.

## Properties
uncorrected energy	-1.4374	eV/atom
DOS at the Fermi energy	7.8	states/eV per cell
theoretical density	2.43	g/cm³
crystal system	hexagonal

Lattice parameters (Å, degrees): 6.110 6.110 9.460 90.00 90.00 120.00
Atoms (fractional coordinates):
Mg 0.333 0.667 0.404
Mg 0.333 0.667 0.096
Mg 0.667 0.333 0.904
Mg 0.667 0.333 0.596
Sr 0.000 0.000 0.750
Sr 0.000 0.000 0.250
Sr 0.333 0.667 0.750
Sr 0.667 0.333 0.250



An optimized crystal structure of SrMg7. Source: Alexandria via LeMat-Bulk, functional GGA-PBE.

## Properties
uncorrected energy	-1.5115	eV/atom
DOS at the Fermi energy	6.7	states/eV per cell
theoretical density	1.97	g/cm³
crystal system	cubic

Lattice parameters (Å, degrees): 6.745 6.745 6.745 60.00 60.00 60.00
Atoms (fractional coordinates):
Mg 0.000 0.500 0.500
Mg 0.500 0.500 0.000
Mg 0.000 0.500 0.000
Mg 0.500 0.000 0.500
Mg 0.500 0.500 0.500
Mg 0.500 0.000 0.000
Mg 0.000 0.000 0.500
Sr 0.000 0.000 0.000



An optimized crystal structure of Sr3Mg4. Source: Alexandria via LeMat-Bulk, functional GGA-PBE.

## Properties
uncorrected energy	-1.6445	eV/atom
DOS at the Fermi energy	5.7	states/eV per cell
theoretical density	2.42	g/cm³
crystal system	tetragonal

Lattice parameters (Å, degrees): 15.913 15.913 15.913 165.66 165.66 20.34
Atoms (fractional coordinates):
Sr 0.696 0.696 0.000
Sr 0.000 0.000 0.000
Sr 0.304 0.304 0.000
Mg 0.878 0.878 0.000
Mg 0.122 0.122 0.000
Mg 0.575 0.575 0.000
Mg 0.425 0.425 0.000



An optimized crystal structure of Sr3Mg5. Source: Alexandria via LeMat-Bulk, functional GGA-PBE.

## Properties
uncorrected energy	-1.5252	eV/atom
DOS at the Fermi energy	13.5	states/eV per cell
theoretical density	2.19	g/cm³
crystal system	orthorhombic

Lattice parameters (Å, degrees): 10.934 10.935 5.626 90.00 90.00 120.17
Atoms (fractional coordinates):
Sr 0.630 0.001 0.250
Sr 0.371 0.371 0.250
Sr 0.629 0.629 0.750
Sr 0.001 0.630 0.250
Sr 0.370 0.999 0.750
Sr 0.999 0.370 0.750
Mg 0.834 0.999 0.750
Mg 0.333 0.667 0.000
Mg 0.999 0.834 0.750
Mg 0.166 0.001 0.250
Mg 0.833 0.833 0.250
Mg 0.001 0.166 0.250
Mg 0.333 0.667 0.500
Mg 0.167 0.167 0.750
Mg 0.667 0.333 0.000
Mg 0.667 0.333 0.500



An optimized crystal structure of Sr6Mg7. Source: Alexandria via LeMat-Bulk, functional GGA-PBE.

## Properties
uncorrected energy	-1.6714	eV/atom
DOS at the Fermi energy	13.6	states/eV per cell
theoretical density	2.49	g/cm³
crystal system	trigonal

Lattice parameters (Å, degrees): 13.159 13.159 13.159 28.70 28.70 28.70
Atoms (fractional coordinates):
Sr 0.667 0.667 0.667
Sr 0.152 0.152 0.152
Sr 0.848 0.848 0.848
Sr 0.948 0.948 0.948
Sr 0.333 0.333 0.333
Sr 0.052 0.052 0.052
Mg 0.500 0.500 0.500
Mg 0.405 0.405 0.903
Mg 0.903 0.405 0.405
Mg 0.595 0.097 0.595
Mg 0.097 0.595 0.595
Mg 0.595 0.595 0.097
Mg 0.405 0.903 0.405



An optimized crystal structure of Sr3Mg. Source: Alexandria via LeMat-Bulk, functional GGA-PBE.

## Properties
uncorrected energy	-1.6009	eV/atom
DOS at the Fermi energy	4.3	states/eV per cell
theoretical density	2.62	g/cm³
crystal system	orthorhombic

Lattice parameters (Å, degrees): 4.250 6.418 6.668 90.00 90.00 90.00
Atoms (fractional coordinates):
Sr 0.500 0.500 0.855
Sr 0.500 0.000 0.473
Sr 0.000 0.000 0.989
Mg 0.000 0.500 0.351



An optimized crystal structure of SrMg7. Source: Alexandria via LeMat-Bulk, functional GGA-PBE.

## Properties
uncorrected energy	-1.5548	eV/atom
DOS at the Fermi energy	4.8	states/eV per cell
theoretical density	2.01	g/cm³
crystal system	hexagonal

Lattice parameters (Å, degrees): 6.815 6.815 5.291 90.00 90.00 120.00
Atoms (fractional coordinates):
Mg 0.667 0.333 0.000
Mg 0.495 0.505 0.500
Mg 0.010 0.505 0.500
Mg 0.178 0.822 0.000
Mg 0.178 0.355 0.000
Mg 0.645 0.822 0.000
Mg 0.495 0.990 0.500
Sr 0.000 0.000 0.500



Which value of theoretical density does entry 5 give? 2.46 g/cm³



What is the formula in the seventh record? SrMg7



What is the uncorrected energy in the tenth record? -1.6714 eV/atom



Among the records above, which one has the lowest theoretical density? number 7